(1)
Here is a relaxed K3Re crystal from the Alexandria database. Energies are from PBE-GGA.

Computed properties:
Excess energy over the best structure of this formula in the dataset ... 0.47 eV per formula unit

```
K3Re
1.0
-3.881 3.596 -4.825
-0.245 -7.847 -5.651
-9.235 -3.293 4.974
Re K
4 12
Direct
0.916 0.381 0.750
0.416 0.119 0.250
0.584 0.881 0.750
0.084 0.619 0.250
0.628 0.173 0.942
0.872 0.673 0.942
0.399 0.530 0.750
0.372 0.827 0.058
0.872 0.673 0.558
0.372 0.827 0.442
0.601 0.470 0.250
0.628 0.173 0.558
0.899 0.970 0.250
0.128 0.327 0.442
0.128 0.327 0.058
0.101 0.030 0.750
```

(2)
Here is a relaxed K2Re crystal from the Alexandria database. Energies are from PBE-GGA.

Computed properties:
Excess energy over the best structure of this formula in the dataset ... 4.10 eV per formula unit

```
K2Re
1.0
0.000 4.672 4.672
4.672 0.000 4.672
4.672 4.672 0.000
K Re
4 2
Direct
0.125 0.625 0.125
0.625 0.125 0.125
0.125 0.125 0.125
0.125 0.125 0.625
0.750 0.750 0.750
0.500 0.500 0.500
```

(3)
Here is a relaxed K2Re crystal from the Alexandria database. Energies are from PBE-GGA.

Computed properties:
Excess energy over the best structure of this formula in the dataset ... 1.85 eV per formula unit

```
K2Re
1.0
-8.969 1.214 -4.443
-8.410 -2.768 -4.825
7.771 0.478 6.407
K Re
2 1
Direct
0.361 0.361 0.000
0.639 0.639 0.000
0.000 0.000 0.000
```

(4)
Here is a relaxed K2Re crystal from the Alexandria database. Energies are from PBE-GGA.

Computed properties:
Excess energy over the best structure of this formula in the dataset ... 3.44 eV per formula unit

```
K2Re
1.0
3.030 -5.248 0.000
3.030 5.248 0.000
0.000 0.000 7.224
K Re
4 2
Direct
0.000 0.000 0.000
0.667 0.333 0.750
0.000 0.000 0.500
0.333 0.667 0.250
0.333 0.667 0.750
0.667 0.333 0.250
```

(5)
Here is a relaxed K3Re crystal from the Alexandria database. Energies are from PBE-GGA.

Computed properties:
Excess energy over the best structure of this formula in the dataset ... 0.22 eV per formula unit

```
K3Re
1.0
2.887 0.000 0.000
0.000 6.020 0.000
0.000 0.000 7.695
Re K
1 3
Direct
0.000 0.500 0.306
0.500 0.500 0.783
0.500 0.000 0.499
0.000 0.000 0.079
```

(6)
Here is a relaxed K2Re crystal from the Alexandria database. Energies are from PBE-GGA.

Computed properties:
Excess energy over the best structure of this formula in the dataset ... 2.15 eV per formula unit

```
K2Re
1.0
-5.676 1.648 0.767
1.313 -4.599 -3.556
-0.206 -1.696 2.117
K Re
2 1
Direct
0.333 0.667 0.834
0.000 0.000 0.832
0.667 0.333 0.333
```

(7)
Here is a relaxed KRe5 crystal from the Alexandria database. Energies are from PBE-GGA.

Computed properties:
Excess energy over the best structure of this formula in the dataset ... 0.66 eV per formula unit

```
KRe5
1.0
2.636 -4.566 0.000
2.636 4.566 0.000
0.000 0.000 4.533
Re K
5 1
Direct
0.500 0.000 0.000
0.333 0.667 0.500
0.667 0.333 0.500
0.500 0.500 0.000
0.000 0.500 0.000
0.000 0.000 0.500
```

(8)
Here is a relaxed K2Re3 crystal from the Alexandria database. Energies are from PBE-GGA.

```
K2Re3
1.0
-0.478 2.545 -1.118
-0.083 -0.350 2.797
13.894 2.950 0.779
Re K
3 2
Direct
0.667 0.333 0.572
0.333 0.667 0.428
0.000 0.000 0.000
0.667 0.333 0.208
0.333 0.667 0.792
```

(9)
Here is a relaxed K2Re crystal from the Alexandria database. Energies are from PBE-GGA.

Computed properties:
Excess energy over the best structure of this formula in the dataset ... 4.01 eV per formula unit

```
K2Re
1.0
6.345 0.000 0.000
-3.172 5.495 0.000
0.000 0.000 11.560
K Re
8 4
Direct
0.174 0.826 0.750
0.000 0.000 0.000
0.653 0.826 0.750
0.826 0.174 0.250
0.000 0.000 0.500
0.347 0.174 0.250
0.174 0.347 0.750
0.826 0.653 0.250
0.333 0.667 0.470
0.333 0.667 0.030
0.667 0.333 0.530
0.667 0.333 0.970
```

(10)
Here is a relaxed K3Re5 crystal from the Alexandria database. Energies are from PBE-GGA.

```
K3Re5
1.0
4.840 -5.655 0.000
4.840 5.655 0.000
0.000 0.000 2.779
Re K
5 3
Direct
0.203 0.797 0.500
0.797 0.203 0.500
0.000 0.000 0.000
0.000 0.500 0.000
0.500 0.000 0.000
0.737 0.737 0.500
0.263 0.263 0.500
0.500 0.500 0.000
```

(11)
Here is a relaxed KRe7 crystal from the Alexandria database. Energies are from PBE-GGA.

```
KRe7
1.0
0.000 4.000 4.000
4.000 0.000 4.000
4.000 4.000 0.000
K Re
1 7
Direct
0.000 0.000 0.000
0.500 0.000 0.500
0.000 0.500 0.500
0.000 0.000 0.500
0.000 0.500 0.000
0.500 0.500 0.000
0.500 0.500 0.500
0.500 0.000 0.000
```

(12)
Here is a relaxed KRe5 crystal from the Alexandria database. Energies are from PBE-GGA.

Computed properties:
Excess energy over the best structure of this formula in the dataset ... 0.00 eV per formula unit

```
KRe5
1.0
1.378 5.902 -0.796
-1.378 5.902 -0.796
0.000 1.111 7.066
Re K
5 1
Direct
0.722 0.722 0.559
0.072 0.072 0.360
0.728 0.728 0.161
0.265 0.265 0.856
0.373 0.373 0.362
0.007 0.007 0.869
```

Energy of formation from the pure elements (eV per formula unit)
5.89, 6.57, 4.32, 5.91, 5.64, 4.62, 5.04, 5.50, 6.48, 11.20, 9.50, 4.38